The following is a DFT calculation (PBE) of a relaxed structure of Pr4CIBr4.

Space group   C2/m, No. 12
E   -5.027 eV/atom

Cell: 9.469 9.469 8.858 Å, 103.35 103.35 24.69°
Each line ends with the local moment (μB).
Fractional coordinates of all 10 atoms:
Br1 0.165 0.165 0.329  0.00
Br2 0.829 0.829 0.161  0.00
Pr1 0.359 0.359 0.927  0.06
Pr2 0.001 0.001 0.803  0.02
Br3 0.171 0.171 0.839  0.00
I1 0.500 0.500 0.500  0.00
Pr3 0.641 0.641 0.073  0.06
Br4 0.835 0.835 0.671  0.00
Pr4 0.999 0.999 0.197  0.02
C1 0.500 0.500 0.000  0.00